# 1
First-principles (GGA-PBE) data for a relaxed Ti8TcBi2 crystal, as listed in Alexandria.

Geometry as extended XYZ:
```
11
Lattice="-2.347 3.189 6.855 2.347 -3.189 6.855 2.347 3.189 -6.855" Properties=species:S:1:pos:R:3 pbc="T T T"
Ti 2.347 1.578 -1.898
Ti 0.000 0.000 2.328
Ti 0.000 1.513 0.000
Ti 2.347 1.578 1.898
Ti 0.000 1.611 4.957
Ti 0.000 4.865 0.000
Ti 0.000 0.000 11.382
Ti 0.000 1.611 8.753
Tc 2.347 0.000 0.000
Bi 2.347 0.000 4.375
Bi 0.000 3.189 2.480
```

## Properties
- ΔH_f (0 K) (meV per atom) = -114
- total moment (μB per cell) = 0.0

---

# 2
First-principles (GGA-PBE) data for a relaxed Ti5TcBi2 crystal, as listed in Alexandria.

Geometry as extended XYZ:
```
16
Lattice="2.354 -6.487 0.000 2.354 6.487 0.000 0.000 0.000 12.165" Properties=species:S:1:pos:R:3 pbc="T T T"
Ti 2.354 4.973 7.534
Ti 2.354 4.973 10.713
Ti 2.354 2.588 3.041
Ti 2.354 2.528 6.124
Ti 2.354 2.528 12.123
Ti 2.354 -2.528 0.041
Ti 2.354 -2.528 6.041
Ti 2.354 -2.588 9.123
Ti 2.354 -4.973 1.451
Ti 2.354 -4.973 4.631
Tc 2.354 3.173 9.123
Tc 2.354 -3.173 3.041
Bi 2.354 5.137 1.427
Bi 2.354 5.137 4.656
Bi 2.354 -5.137 7.509
Bi 2.354 -5.137 10.738
```

## Properties
- ΔH_f (0 K) (meV per atom) = 234
- total moment (μB per cell) = 0.0

---

# 3
First-principles (GGA-PBE) data for a relaxed Ti2TcBi crystal, as listed in Alexandria.

Geometry as extended XYZ:
```
4
Lattice="4.179 0.000 0.000 0.000 4.179 0.000 0.000 0.000 4.047" Properties=species:S:1:pos:R:3 pbc="T T T"
Ti 0.000 2.089 0.000
Ti 2.089 0.000 0.000
Tc 0.000 0.000 2.024
Bi 2.089 2.089 2.024
```

## Properties
- ΔH_f (0 K) (meV per atom) = -14
- total moment (μB per cell) = 0.0

---

# 4
First-principles (GGA-PBE) data for a relaxed Ti6TcBi2 crystal, as listed in Alexandria.

Geometry as extended XYZ:
```
9
Lattice="3.498 0.000 0.000 0.000 6.686 3.690 0.000 -6.686 3.690" Properties=species:S:1:pos:R:3 pbc="T T T"
Ti 0.000 0.000 0.000
Ti 0.000 -1.654 4.767
Ti 0.000 1.654 4.767
Ti 1.749 -4.217 3.291
Ti 1.749 0.000 2.684
Ti 1.749 4.217 3.291
Tc 1.749 0.000 5.325
Bi 0.000 -2.240 1.922
Bi 0.000 2.240 1.922
```

## Properties
- ΔH_f (0 K) (meV per atom) = -145
- total moment (μB per cell) = 0.0